HoPuNi: relaxed, PBE-GGA.

```
HoPuNi
1.0
0.0000 3.3102 3.3102
3.3102 0.0000 3.3102
3.3102 3.3102 0.0000
Pu Ho Ni
1 1 1
Cartesian
3.3102 3.3102 3.3102
0.0000 0.0000 0.0000
1.6551 1.6551 1.6551
```

Energy relative to the lowest polymorph listed for this composition = 0.0 kJ/mol of atoms
Space-group type = F-43m (216)
Total magnetization = 2.058 μB per atom
E_form = -0.02 eV per atom
Final energy = -8.115 eV/atom